Compound: Ac2FeRhO6
Source: Alexandria via LeMat-Bulk
Functional: PBE+U
Structure: relaxed

abc: 5.7327 5.7056 9.8925
angles: 90.00 125.33 90.00
Last column: nearest neighbours and their distance in Å.
Fractional coordinates of all 20 atoms:
Ac1 0.2453 0.0299 0.2502  6 O 2.52-2.75
Ac2 0.2453 0.4701 0.7502  6 O 2.52-2.75
Ac3 0.7547 0.5299 0.2498  6 O 2.52-2.75
Ac4 0.7547 0.9701 0.7498  6 O 2.52-2.75
Fe1 0.0000 0.0000 0.5000  6 O 2.03
Fe2 0.0000 0.5000 0.0000  6 O 2.03
Rh1 0.5000 0.0000 0.0000  6 O 2.08
Rh2 0.5000 0.5000 0.5000  6 O 2.08
O1 0.1789 0.2214 0.9635  1 Fe 2.03, 1 Rh 2.08
O2 0.1789 0.2786 0.4635  1 Fe 2.03, 1 Rh 2.08
O3 0.2417 0.7161 0.9640  1 Fe 2.03, 1 Rh 2.08
O4 0.2417 0.7839 0.4640  1 Fe 2.03, 1 Rh 2.08
O5 0.3137 0.0099 0.7465  1 Fe 2.03, 1 Rh 2.08
O6 0.3137 0.4901 0.2465  1 Fe 2.03, 1 Rh 2.08
O7 0.6863 0.5099 0.7535  1 Fe 2.03, 1 Rh 2.08
O8 0.6863 0.9901 0.2535  1 Fe 2.03, 1 Rh 2.08
O9 0.7583 0.2161 0.5360  1 Fe 2.03, 1 Rh 2.08
O10 0.7583 0.2839 0.0360  1 Fe 2.03, 1 Rh 2.08
O11 0.8211 0.7214 0.5365  1 Fe 2.03, 1 Rh 2.08
O12 0.8211 0.7786 0.0365  1 Fe 2.03, 1 Rh 2.08

Energy: -7.400 eV/atom